[1]
A PBEsol-optimized structure of Mn3Co2, computed with SCAN.

```
data_Mn3Co2
_chemical_formula_sum 'Mn3 Co2'
_cell_length_a 3.860
_cell_length_b 3.860
_cell_length_c 4.754
_cell_angle_alpha 90.00
_cell_angle_beta 90.00
_cell_angle_gamma 120.00
_symmetry_space_group_name_H-M 'P 1'
_symmetry_Int_Tables_number 1
_symmetry_space_group_name_Hall 'P 1'
loop_
_atom_site_label
_atom_site_type_symbol
_atom_site_fract_x
_atom_site_fract_y
_atom_site_fract_z
Mn1 Mn 0.000 0.000 0.000
Mn2 Mn 0.333 0.667 0.354
Mn3 Mn 0.667 0.333 0.646
Co1 Co 0.333 0.667 0.843
Co2 Co 0.667 0.333 0.157
```

Total energy: -17.64 eV/atom
Total moment: 10.9 μB per cell
Space group: P-3m1
V: 61.3 Å³ per cell

[2]
A PBEsol-optimized structure of KIn2As2, computed with SCAN.

```
data_KIn2As2
_chemical_formula_sum 'K1 In2 As2'
_cell_length_a 4.664
_cell_length_b 4.664
_cell_length_c 7.424
_cell_angle_alpha 108.31
_cell_angle_beta 108.31
_cell_angle_gamma 90.00
_symmetry_space_group_name_H-M 'P 1'
_symmetry_Int_Tables_number 1
_symmetry_space_group_name_Hall 'P 1'
loop_
_atom_site_label
_atom_site_type_symbol
_atom_site_fract_x
_atom_site_fract_y
_atom_site_fract_z
In1 In 0.750 0.250 0.500
In2 In 0.250 0.750 0.500
As1 As 0.365 0.365 0.731
As2 As 0.635 0.635 0.269
K1 K 0.000 0.000 0.000
```

Total energy: -23.40 eV/atom
Total moment: 0.0 μB per cell
Space group: I4/mmm
V: 144.7 Å³ per cell

[3]
A PBEsol-optimized structure of LaFe2PdCl, computed with SCAN.

```
data_LaFe2PdCl
_chemical_formula_sum 'La1 Fe2 Pd1 Cl1'
_cell_length_a 4.631
_cell_length_b 4.631
_cell_length_c 5.148
_cell_angle_alpha 90.00
_cell_angle_beta 90.00
_cell_angle_gamma 90.00
_symmetry_space_group_name_H-M 'P 1'
_symmetry_Int_Tables_number 1
_symmetry_space_group_name_Hall 'P 1'
loop_
_atom_site_label
_atom_site_type_symbol
_atom_site_fract_x
_atom_site_fract_y
_atom_site_fract_z
Fe1 Fe 0.500 0.000 0.000
Fe2 Fe 0.000 0.500 0.000
Pd1 Pd 0.000 0.000 0.500
Cl1 Cl 0.500 0.500 0.500
La1 La 0.000 0.000 0.000
```

Total moment: 3.8 μB per cell
Space group: P4/mmm
V: 110.4 Å³ per cell
Uncorrected formation energy: 1.401 eV per atom

[4]
A PBEsol-optimized structure of Mg2CdI, computed with SCAN.

```
data_Mg2CdI
_chemical_formula_sum 'Mg2 Cd1 I1'
_cell_length_a 5.342
_cell_length_b 5.342
_cell_length_c 5.342
_cell_angle_alpha 60.00
_cell_angle_beta 60.00
_cell_angle_gamma 60.00
_symmetry_space_group_name_H-M 'P 1'
_symmetry_Int_Tables_number 1
_symmetry_space_group_name_Hall 'P 1'
loop_
_atom_site_label
_atom_site_type_symbol
_atom_site_fract_x
_atom_site_fract_y
_atom_site_fract_z
Cd1 Cd 0.000 0.000 0.000
Mg1 Mg 0.250 0.250 0.250
Mg2 Mg 0.750 0.750 0.750
I1 I 0.500 0.500 0.500
```

Total moment: 0.0 μB per cell
Space group: Fm-3m
V: 107.8 Å³ per cell
Uncorrected formation energy: 0.204 eV per atom

[5]
A PBEsol-optimized structure of ReRhI3, computed with SCAN.

```
data_ReRhI3
_chemical_formula_sum 'Re1 Rh1 I3'
_cell_length_a 5.285
_cell_length_b 5.285
_cell_length_c 5.285
_cell_angle_alpha 90.00
_cell_angle_beta 90.00
_cell_angle_gamma 90.00
_symmetry_space_group_name_H-M 'P 1'
_symmetry_Int_Tables_number 1
_symmetry_space_group_name_Hall 'P 1'
loop_
_atom_site_label
_atom_site_type_symbol
_atom_site_fract_x
_atom_site_fract_y
_atom_site_fract_z
I1 I 0.000 0.000 0.500
I2 I 0.500 0.000 0.000
I3 I 0.000 0.500 0.000
Re1 Re 0.500 0.500 0.500
Rh1 Rh 0.000 0.000 0.000
```

Total moment: 5.7 μB per cell
Space group: Pm-3m
V: 147.6 Å³ per cell
Uncorrected formation energy: 1.275 eV per atom

[6]
A PBEsol-optimized structure of ZnRuSe2, computed with SCAN.

```
data_ZnRuSe2
_chemical_formula_sum 'Zn1 Ru1 Se2'
_cell_length_a 3.614
_cell_length_b 4.851
_cell_length_c 5.197
_cell_angle_alpha 117.53
_cell_angle_beta 90.00
_cell_angle_gamma 90.00
_symmetry_space_group_name_H-M 'P 1'
_symmetry_Int_Tables_number 1
_symmetry_space_group_name_Hall 'P 1'
loop_
_atom_site_label
_atom_site_type_symbol
_atom_site_fract_x
_atom_site_fract_y
_atom_site_fract_z
Zn1 Zn 0.500 0.000 0.500
Se1 Se 0.000 0.326 0.152
Se2 Se 0.000 0.674 0.848
Ru1 Ru 0.500 0.500 0.500
```

Total moment: 0.0 μB per cell
Space group: P2/m
V: 80.8 Å³ per cell
Uncorrected formation energy: 0.012 eV per atom